The following is a DFT calculation (GGA-PBE) of a relaxed structure of Tl2CuI.

Results
- Uncorrected energy: -20.2 eV per cell
- Calculated density: 6.2 g/cm3
- Energy relative to the lowest polymorph listed for this composition: 0 meV/atom
- Raw formation energy: 64 meV per atom
- Space-group type: I-42d (122)

abc: 8.758 8.758 8.758
angles: 135.91 135.91 64.11
Positions (direct):
Tl1 0.023 0.625 0.898
Tl2 0.375 0.273 0.398
Tl3 0.727 0.125 0.102
Tl4 0.875 0.977 0.602
Cu1 0.000 0.000 0.000
Cu2 0.750 0.250 0.500
I1 0.250 0.750 0.500
I2 0.500 0.500 0.000